DFT (meta-GGA SCAN) results for a PBEsol-optimized structure of Si2TeO.

Output
energy	-60.886	eV for the cell shown
formation energy from raw total energies	0.6569	eV per atom

a b c (Å): 4.4842 4.4842 4.4842
angles (deg): 60.00 60.00 60.00
Element x y z (fractional)
Te 0.5000 0.5000 0.5000
O 0.0000 0.0000 0.0000
Si 0.2500 0.2500 0.2500
Si 0.7500 0.7500 0.7500

---

DFT (meta-GGA SCAN) results for a PBEsol-optimized structure of Fe2AsAu.

Output
energy	-125.267	eV for the cell shown
calculated formation energy	0.09	eV/atom

a b c (Å): 2.7958 3.7174 5.3879
angles (deg): 90.00 100.50 90.00
Last column: magnetic moment on the atom in μB.
Element x y z (fractional)
Au 0.5000 0.5000 0.5000  0.01
Fe 0.9170 0.0000 0.2212  2.79
As 0.5000 0.5000 0.0000  -0.05
Fe 0.0830 0.0000 0.7788  2.79

---

DFT (meta-GGA SCAN) results for a PBEsol-optimized structure of Ca3FeBr.

Output
energy	-66.024	eV for the cell shown
formation energy from raw total energies	0.1110	eV per atom

a b c (Å): 5.4307 5.4307 5.4307
angles (deg): 90.00 90.00 90.00
Last column: magnetic moment on the atom in μB.
Element x y z (fractional)
Ca 0.0000 0.0000 0.5000  -0.13
Br 0.0000 0.0000 0.0000  -0.03
Ca 0.0000 0.5000 0.0000  -0.13
Ca 0.5000 0.0000 0.0000  -0.13
Fe 0.5000 0.5000 0.5000  3.36

---

DFT (meta-GGA SCAN) results for a PBEsol-optimized structure of CaYOs.

Output
energy	-106.081	eV for the cell shown
calculated formation energy	1.10	eV/atom

a b c (Å): 4.6471 4.6471 4.6471
angles (deg): 60.00 60.00 60.00
Element x y z (fractional)
Os 0.0000 0.0000 0.0000
Ca 0.2500 0.2500 0.2500
Y 0.5000 0.5000 0.5000